# 1
First-principles (GGA-PBE) data for a geometry-optimized Pr3InCu structure, as listed in the Alexandria database.

Results
- Calculated total energy: -0.16164 hartree per atom
- ΔH_f (0 K): -0.1639 eV per atom

a b c (Å): 9.890 6.348 10.880
angles (deg): 90.00 121.66 90.00
Space group P2_1/c (No. 14)
Unique sites:
Pr (0.037, 0.086, 0.313)
Pr (0.349, 0.145, 0.711)
Pr (0.375, 0.700, 0.919)
In (0.155, 0.641, 0.559)
Cu (0.299, 0.122, 0.959)

# 2
First-principles (GGA-PBE) data for a geometry-optimized PrIn2Cu structure, as listed in the Alexandria database.

Results
- Calculated total energy: -0.12401 hartree per atom
- ΔH_f (0 K): 0.2135 eV per atom

a b c (Å): 3.4454 3.4454 31.2898
angles (deg): 90.00 90.00 120.00
Space group R-3m (No. 166, hexagonal axes)
Unique sites:
Pr (0.0000, 0.0000, 0.0000)
In (0.0000, 0.0000, 0.1050)
Cu (0.0000, 0.0000, 0.5000)